VASP calculation (PBE+U) on a geometry-optimized CrBi2O4 structure.

Cell: 3.9214 3.9214 6.8546 Å, 73.38 73.38 90.00°
Each line ends with the local moment (μB).
Fractional positions:
Cr: 0.0000 0.0000 0.0000  2.92
Bi: 0.6468 0.6468 0.7063  -0.01
Bi: 0.3532 0.3532 0.2937  -0.01
O: 0.8333 0.8333 0.3335  -0.01
O: 0.1667 0.1667 0.6665  -0.01
O: 0.0000 0.5000 0.0000  -0.01
O: 0.5000 0.0000 0.0000  -0.01

Values from the calculation:
density of states at the Fermi level	1.7	states/eV per cell
space-group type	I4/mmm, No. 139
DFT total energy	-43.29	eV for the cell shown